# GGA-PBE AlCu3, relaxed
data_AlCu3
_chemical_formula_sum 'Al3 Cu9'
_cell_length_a 2.5850
_cell_length_b 7.1975
_cell_length_c 8.3156
_cell_angle_alpha 90.00
_cell_angle_beta 90.00
_cell_angle_gamma 90.00
_symmetry_space_group_name_H-M 'P 1'
_symmetry_Int_Tables_number 1
loop_
_symmetry_equiv_pos_as_xyz
'x,y,z'
loop_
_atom_site_label
_atom_site_type_symbol
_atom_site_fract_x
_atom_site_fract_y
_atom_site_fract_z
Al1 Al 0.0000 0.0000 0.0000
Al2 Al 0.5000 0.3192 0.5000
Al3 Al 0.5000 0.6808 0.5000
Cu1 Cu 0.0000 0.0000 0.5000
Cu2 Cu 0.0000 0.5000 0.2562
Cu3 Cu 0.0000 0.5000 0.7438
Cu4 Cu 0.5000 0.1661 0.2457
Cu5 Cu 0.5000 0.1661 0.7543
Cu6 Cu 0.5000 0.3354 0.0000
Cu7 Cu 0.5000 0.6646 0.0000
Cu8 Cu 0.5000 0.8339 0.2457
Cu9 Cu 0.5000 0.8339 0.7543
# **E_form**: -42 meV/atom
# **SG**: Pmmm (47)



# GGA-PBE AlTc2I, relaxed
data_AlTc2I
_chemical_formula_sum 'Al2 Tc4 I2'
_cell_length_a 6.9077
_cell_length_b 6.9077
_cell_length_c 6.9077
_cell_angle_alpha 129.43
_cell_angle_beta 129.43
_cell_angle_gamma 74.32
_symmetry_space_group_name_H-M 'P 1'
_symmetry_Int_Tables_number 1
loop_
_symmetry_equiv_pos_as_xyz
'x,y,z'
loop_
_atom_site_label
_atom_site_type_symbol
_atom_site_fract_x
_atom_site_fract_y
_atom_site_fract_z
Al1 Al 0.0000 0.0000 0.0000
Al2 Al 0.7500 0.2500 0.5000
Tc1 Tc 0.1106 0.6250 0.9856
Tc2 Tc 0.3750 0.3606 0.4856
Tc3 Tc 0.6394 0.1250 0.0144
Tc4 Tc 0.8750 0.8894 0.5144
I1 I 0.2500 0.7500 0.5000
I2 I 0.5000 0.5000 0.0000
# **SG**: I-42d (122)
# **Raw formation energy**: 1.292 eV per atom



# GGA-PBE Cd3PdBr, relaxed
data_Cd3PdBr
_chemical_formula_sum 'Cd3 Pd1 Br1'
_cell_length_a 5.5099
_cell_length_b 5.5099
_cell_length_c 5.5099
_cell_angle_alpha 90.00
_cell_angle_beta 90.00
_cell_angle_gamma 90.00
_symmetry_space_group_name_H-M 'P 1'
_symmetry_Int_Tables_number 1
loop_
_symmetry_equiv_pos_as_xyz
'x,y,z'
loop_
_atom_site_label
_atom_site_type_symbol
_atom_site_fract_x
_atom_site_fract_y
_atom_site_fract_z
Cd1 Cd 0.0000 0.0000 0.5000
Cd2 Cd 0.0000 0.5000 0.0000
Cd3 Cd 0.5000 0.0000 0.0000
Pd1 Pd 0.5000 0.5000 0.5000
Br1 Br 0.0000 0.0000 0.0000
# **SG**: Pm-3m (221)
# **Raw formation energy**: 0.789 eV per atom



# GGA-PBE Sr3Ac3ErTe8, relaxed
data_Sr3Ac3ErTe8
_chemical_formula_sum 'Sr3 Ac3 Er1 Te8'
_cell_length_a 9.4577
_cell_length_b 9.4577
_cell_length_c 9.4577
_cell_angle_alpha 59.35
_cell_angle_beta 59.35
_cell_angle_gamma 59.35
_symmetry_space_group_name_H-M 'P 1'
_symmetry_Int_Tables_number 1
loop_
_symmetry_equiv_pos_as_xyz
'x,y,z'
loop_
_atom_site_label
_atom_site_type_symbol
_atom_site_fract_x
_atom_site_fract_y
_atom_site_fract_z
Sr1 Sr 0.0000 0.5000 0.5000
Sr2 Sr 0.5000 0.0000 0.5000
Sr3 Sr 0.5000 0.5000 0.0000
Ac1 Ac 0.0000 0.0000 0.5000
Ac2 Ac 0.0000 0.5000 0.0000
Ac3 Ac 0.5000 0.0000 0.0000
Er1 Er 0.5000 0.5000 0.5000
Te1 Te 0.2515 0.2515 0.2515
Te2 Te 0.2644 0.2644 0.7350
Te3 Te 0.2644 0.7350 0.2644
Te4 Te 0.2650 0.7356 0.7356
Te5 Te 0.7350 0.2644 0.2644
Te6 Te 0.7356 0.2650 0.7356
Te7 Te 0.7356 0.7356 0.2650
Te8 Te 0.7485 0.7485 0.7485
# **SG**: R-3m (166)
# **Raw formation energy**: -1.579 eV per atom



# GGA-PBE Y2Cu3Pd, relaxed
data_Y2Cu3Pd
_chemical_formula_sum 'Y4 Cu6 Pd2'
_cell_length_a 8.6448
_cell_length_b 8.3023
_cell_length_c 5.5724
_cell_angle_alpha 74.17
_cell_angle_beta 67.51
_cell_angle_gamma 38.33
_symmetry_space_group_name_H-M 'P 1'
_symmetry_Int_Tables_number 1
loop_
_symmetry_equiv_pos_as_xyz
'x,y,z'
loop_
_atom_site_label
_atom_site_type_symbol
_atom_site_fract_x
_atom_site_fract_y
_atom_site_fract_z
Y1 Y 0.2486 0.7514 0.7514
Y2 Y 0.2500 0.2500 0.2500
Y3 Y 0.7500 0.7500 0.7500
Y4 Y 0.7514 0.2486 0.2486
Cu1 Cu 0.1752 0.6626 0.3374
Cu2 Cu 0.3369 0.3369 0.6631
Cu3 Cu 0.3374 0.8248 0.1752
Cu4 Cu 0.6626 0.1752 0.8248
Cu5 Cu 0.6631 0.6631 0.3369
Cu6 Cu 0.8248 0.3374 0.6626
Pd1 Pd 0.1667 0.1667 0.8333
Pd2 Pd 0.8333 0.8333 0.1667
# **E_form**: -412 meV/atom
# **SG**: Fmmm (69)



# GGA-PBE CdAg2Pd2O6, relaxed
data_CdAg2Pd2O6
_chemical_formula_sum 'Cd1 Ag2 Pd2 O6'
_cell_length_a 5.4871
_cell_length_b 5.4871
_cell_length_c 6.4640
_cell_angle_alpha 101.99
_cell_angle_beta 101.99
_cell_angle_gamma 118.94
_symmetry_space_group_name_H-M 'P 1'
_symmetry_Int_Tables_number 1
loop_
_symmetry_equiv_pos_as_xyz
'x,y,z'
loop_
_atom_site_label
_atom_site_type_symbol
_atom_site_fract_x
_atom_site_fract_y
_atom_site_fract_z
Cd1 Cd 0.0000 0.0000 0.0000
Ag1 Ag 0.3284 0.6716 0.5000
Ag2 Ag 0.6716 0.3284 0.5000
Pd1 Pd 0.3335 0.6665 0.0000
Pd2 Pd 0.6665 0.3335 0.0000
O1 O 0.0890 0.7172 0.1876
O2 O 0.2828 0.9110 0.8124
O3 O 0.4438 0.4438 0.1885
O4 O 0.5562 0.5562 0.8115
O5 O 0.7172 0.0890 0.1876
O6 O 0.9110 0.2828 0.8124
# **SG**: C2/m (12)
# **Raw formation energy**: -0.372 eV per atom



# GGA-PBE TlHg2AsSe4, relaxed
data_TlHg2AsSe4
_chemical_formula_sum 'Tl1 Hg2 As1 Se4'
_cell_length_a 6.9552
_cell_length_b 6.9552
_cell_length_c 6.9552
_cell_angle_alpha 119.51
_cell_angle_beta 106.63
_cell_angle_gamma 102.79
_symmetry_space_group_name_H-M 'P 1'
_symmetry_Int_Tables_number 1
loop_
_symmetry_equiv_pos_as_xyz
'x,y,z'
loop_
_atom_site_label
_atom_site_type_symbol
_atom_site_fract_x
_atom_site_fract_y
_atom_site_fract_z
Tl1 Tl 0.0000 0.0000 0.0000
Hg1 Hg 0.3144 0.8144 0.5000
Hg2 Hg 0.6856 0.1856 0.5000
As1 As 0.5000 0.5000 0.0000
Se1 Se 0.1425 0.1119 0.6001
Se2 Se 0.4881 0.8881 0.0306
Se3 Se 0.5119 0.5424 0.3999
Se4 Se 0.8575 0.4576 0.9694
# **SG**: I222 (23)
# **Raw formation energy**: -0.128 eV per atom



# GGA-PBE BaZnNiIr, relaxed
data_BaZnNiIr
_chemical_formula_sum 'Ba1 Zn1 Ni1 Ir1'
_cell_length_a 6.0929
_cell_length_b 6.0929
_cell_length_c 6.0929
_cell_angle_alpha 41.56
_cell_angle_beta 41.56
_cell_angle_gamma 41.56
_symmetry_space_group_name_H-M 'P 1'
_symmetry_Int_Tables_number 1
loop_
_symmetry_equiv_pos_as_xyz
'x,y,z'
loop_
_atom_site_label
_atom_site_type_symbol
_atom_site_fract_x
_atom_site_fract_y
_atom_site_fract_z
Ba1 Ba 0.0000 0.0000 0.0000
Zn1 Zn 0.1876 0.1876 0.1876
Ni1 Ni 0.8132 0.8132 0.8132
Ir1 Ir 0.4932 0.4932 0.4932
# **E_form**: -192 meV/atom
# **SG**: R3m (160)



# GGA-PBE KCr2AsH, relaxed
data_KCr2AsH
_chemical_formula_sum 'K1 Cr2 As1 H1'
_cell_length_a 6.0672
_cell_length_b 6.0672
_cell_length_c 5.7587
_cell_angle_alpha 90.00
_cell_angle_beta 90.00
_cell_angle_gamma 90.00
_symmetry_space_group_name_H-M 'P 1'
_symmetry_Int_Tables_number 1
loop_
_symmetry_equiv_pos_as_xyz
'x,y,z'
loop_
_atom_site_label
_atom_site_type_symbol
_atom_site_fract_x
_atom_site_fract_y
_atom_site_fract_z
K1 K 0.0000 0.0000 0.0000
Cr1 Cr 0.0000 0.5000 0.0000
Cr2 Cr 0.5000 0.0000 0.0000
As1 As 0.0000 0.0000 0.5000
H1 H 0.5000 0.5000 0.5000
# **Total energy**: -3.419 eV/atom
# **SG**: P4/mmm (123)



# GGA-PBE BeNbRh3, relaxed
data_BeNbRh3
_chemical_formula_sum 'Be1 Nb1 Rh3'
_cell_length_a 4.6914
_cell_length_b 4.6914
_cell_length_c 4.6914
_cell_angle_alpha 90.00
_cell_angle_beta 90.00
_cell_angle_gamma 90.00
_symmetry_space_group_name_H-M 'P 1'
_symmetry_Int_Tables_number 1
loop_
_symmetry_equiv_pos_as_xyz
'x,y,z'
loop_
_atom_site_label
_atom_site_type_symbol
_atom_site_fract_x
_atom_site_fract_y
_atom_site_fract_z
Be1 Be 0.0000 0.0000 0.0000
Nb1 Nb 0.5000 0.5000 0.5000
Rh1 Rh 0.0000 0.5000 0.5000
Rh2 Rh 0.5000 0.0000 0.5000
Rh3 Rh 0.5000 0.5000 0.0000
# **E_form**: 1243 meV/atom
# **SG**: Pm-3m (221)



# GGA-PBE PrTe2Pb, relaxed
data_PrTe2Pb
_chemical_formula_sum 'Pr2 Te4 Pb2'
_cell_length_a 12.6768
_cell_length_b 12.6768
_cell_length_c 5.1325
_cell_angle_alpha 90.00
_cell_angle_beta 90.00
_cell_angle_gamma 160.98
_symmetry_space_group_name_H-M 'P 1'
_symmetry_Int_Tables_number 1
loop_
_symmetry_equiv_pos_as_xyz
'x,y,z'
loop_
_atom_site_label
_atom_site_type_symbol
_atom_site_fract_x
_atom_site_fract_y
_atom_site_fract_z
Pr1 Pr 0.0542 0.9458 0.7500
Pr2 Pr 0.9458 0.0542 0.2500
Te1 Te 0.1831 0.8169 0.7500
Te2 Te 0.4453 0.5547 0.7500
Te3 Te 0.5547 0.4453 0.2500
Te4 Te 0.8169 0.1831 0.2500
Pb1 Pb 0.3131 0.6869 0.7500
Pb2 Pb 0.6869 0.3131 0.2500
# **SG**: Cmcm (63)
# **Raw formation energy**: -0.833 eV per atom



| no. | V (Å³/f.u.) |
| --- | --- |
| 1 | 51.57 |
| 2 | 95.84 |
| 3 | 167.28 |
| 4 | 589.26 |
| 5 | 114.45 |
| 6 | 155.43 |
| 7 | 252.72 |
| 8 | 90.01 |
| 9 | 211.98 |
| 10 | 103.25 |
| 11 | 134.42 |